(1)
## TlOs2Ru (PBE-GGA)

Data for a relaxed TlOs2Ru crystal.

Values from the calculation:
Final energy   -0.55400 Ry/atom
Distance to the lowest polymorph of the same formula   1.81 eV per formula unit
Calculated formation energy   0.988 eV per atom

abc: 4.265 3.885 3.885
angles: 90.00 90.00 90.00
Fractional positions:
1 Os 0.000 0.000 0.000
2 Os 0.000 0.500 0.500
3 Ru 0.500 0.500 0.000
4 Tl 0.500 0.000 0.500

(2)
## TlOs2Ru (PBE-GGA)

Data for a relaxed TlOs2Ru crystal.

Values from the calculation:
Final energy   -0.56465 Ry/atom
Distance to the lowest polymorph of the same formula   1.23 eV per formula unit
Calculated formation energy   0.843 eV per atom

abc: 4.904 4.904 4.904
angles: 132.11 132.11 70.05
Fractional positions:
1 Os 0.000 0.000 0.000
2 Os 0.250 0.750 0.500
3 Ru 0.500 0.500 0.000
4 Tl 0.750 0.250 0.500